## YP2Ru3 (PBE)

Data for an optimized crystal structure of YP2Ru3.

The calculation puts the density of states at the Fermi level at 3.99 states/eV/cell. Its formation energy is -753 meV/atom. As for the polymorph energy (0 for the lowest one): 0.234 eV/f.u. As for the calculated density: 8.0 g/cm³. The calculation puts the total energy at -8.271 eV per atom. Its total magnetization is 0.0 μB/f.u. Its symmetry is No. 191.

Cell lengths 5.563, 5.563, 3.528 Å; angles 90.00, 90.00, 120.00 degrees
Fractional coordinates of all 6 atoms:
Y: 0.000 0.000 0.000
P: 0.333 0.667 0.000
P: 0.667 0.333 0.000
Ru: 0.000 0.500 0.500
Ru: 0.500 0.000 0.500
Ru: 0.500 0.500 0.500

=====

## YP2Ru (PBE)

Data for an optimized crystal structure of YP2Ru.

The calculation puts the density of states at the Fermi level at 2.74 states/eV/cell. Its formation energy is -445 meV/atom. As for the polymorph energy (0 for the lowest one): 1.855 eV/f.u. As for the calculated density: 6.4 g/cm³. The calculation puts the total energy at -7.085 eV per atom. Its total magnetization is 0.0 μB/f.u. Its symmetry is No. 65.

Cell lengths 3.128, 3.128, 6.726 Å; angles 90.00, 90.00, 98.27 degrees
Fractional coordinates of all 4 atoms:
Y: 0.000 0.000 0.000
P: 0.500 0.500 0.289
P: 0.500 0.500 0.711
Ru: 0.000 0.000 0.500

=====

Repeat the first record exactly.
## YP2Ru3 (PBE)

Data for an optimized crystal structure of YP2Ru3.

The calculation puts the density of states at the Fermi level at 3.99 states/eV/cell. Its formation energy is -753 meV/atom. As for the polymorph energy (0 for the lowest one): 0.234 eV/f.u. As for the calculated density: 8.0 g/cm³. The calculation puts the total energy at -8.271 eV per atom. Its total magnetization is 0.0 μB/f.u. Its symmetry is No. 191.

Cell lengths 5.563, 5.563, 3.528 Å; angles 90.00, 90.00, 120.00 degrees
Fractional coordinates of all 6 atoms:
Y: 0.000 0.000 0.000
P: 0.333 0.667 0.000
P: 0.667 0.333 0.000
Ru: 0.000 0.500 0.500
Ru: 0.500 0.000 0.500
Ru: 0.500 0.500 0.500